The following is a GGA-PBE calculation of an optimized crystal structure of Pm2AgSe4, from the Alexandria database.

Computed properties:
calculated volume: 25.51 A^3/atom
M_tot: 0.00 μB per formula unit
formation energy from raw total energies: -1.292 eV/atom
total energy: -5.048 eV/atom

Cell: 7.2695 5.8620 8.5797 Å, 90.00 102.40 90.00°
Space group P2_1/m (No. 11)
One atom of each set of equivalent atoms:
Pm  0.2003  0.2500  0.3933
Pm  0.2442  0.2500  0.9308
Ag  0.2597  0.7500  0.6536
Se  0.0490  0.7500  0.3736
Se  0.0783  0.7500  0.9005
Se  0.4527  0.5133  0.2229


The following is a GGA-PBE calculation of an optimized crystal structure of ZnPbAu4, from the Alexandria database.

Computed properties:
calculated volume: 19.63 A^3/atom
M_tot: 0.00 μB per formula unit
total energy: -3.082 eV/atom

Cell: 3.5452 3.5452 9.3698 Å, 90.00 90.00 90.00°
Space group P4/mmm (No. 123)
One atom of each set of equivalent atoms:
Zn  0.0000  0.0000  0.0000
Pb  0.5000  0.5000  0.5000
Au  0.0000  0.0000  0.3017
Au  0.5000  0.5000  0.1469


The following is a GGA-PBE calculation of an optimized crystal structure of BePtSN2, from the Alexandria database.

Computed properties:
calculated volume: 22.94 A^3/atom
M_tot: 0.00 μB per formula unit
formation energy from raw total energies: 1.233 eV/atom
total energy: -4.876 eV/atom

Cell: 3.6431 3.6431 8.6438 Å, 90.00 90.00 90.00°
Space group P4/mmm (No. 123)
One atom of each set of equivalent atoms:
Be  0.0000  0.0000  0.0000
Pt  0.5000  0.5000  0.5000
S  0.5000  0.5000  0.0000
N  0.0000  0.5000  0.5000


- What is the formula in the second record?
  ZnPbAu4


- Which value of calculated volume does entry 3 give?
  22.94 A^3/atom


- What is the formula in the second record?
  ZnPbAu4